[1]
InSb2Cl | PBE-GGA | optimized geometry

Fermi-level density of states	2.1	states/eV per cell
DFT total energy	-3.205	eV per atom
magnetic moment	0.00	μB per atom
formation energy from raw total energies	0.003	eV/atom

Cell lengths 3.324, 5.284, 6.208 Å; angles 90.00, 90.00, 90.00 degrees
Element x y z (fractional)
1 In 0.000 0.000 0.000
2 Sb 0.500 0.500 0.235
3 Sb 0.500 0.500 0.765
4 Cl 0.000 0.000 0.500

=====

[2]
InSbCl2 | PBE-GGA | optimized geometry

Fermi-level density of states	7.2	states/eV per cell
DFT total energy	-2.970	eV per atom
magnetic moment	0.00	μB per atom
energy above the lowest structure with this stoichiometry	169	meV per atom
formation energy from raw total energies	-0.331	eV/atom

Cell lengths 3.530, 3.530, 30.705 Å; angles 90.00, 90.00, 120.00 degrees
Element x y z (fractional)
1 In 0.000 0.000 0.000
2 In 0.333 0.667 0.667
3 In 0.667 0.333 0.333
4 Sb 0.000 0.000 0.241
5 Sb 0.333 0.667 0.908
6 Sb 0.667 0.333 0.574
7 Cl 0.000 0.000 0.507
8 Cl 0.000 0.000 0.726
9 Cl 0.333 0.667 0.174
10 Cl 0.333 0.667 0.393
11 Cl 0.667 0.333 0.060
12 Cl 0.667 0.333 0.841

=====

[3]
InSbCl2 | PBE-GGA | optimized geometry

Fermi-level density of states	1.1	states/eV per cell
DFT total energy	-3.139	eV per atom
magnetic moment	0.00	μB per atom
energy above the lowest structure with this stoichiometry	0	meV per atom
formation energy from raw total energies	-0.500	eV/atom

Cell lengths 3.551, 6.276, 5.506 Å; angles 90.00, 107.58, 90.00 degrees
Element x y z (fractional)
1 In 0.000 0.000 0.000
2 Sb 0.026 0.500 0.049
3 Cl 0.323 0.000 0.623
4 Cl 0.804 0.500 0.586

=====

[4]
InSbCl2 | PBE-GGA | optimized geometry

Fermi-level density of states	1.6	states/eV per cell
DFT total energy	-2.995	eV per atom
magnetic moment	0.00	μB per atom
energy above the lowest structure with this stoichiometry	143	meV per atom
formation energy from raw total energies	-0.357	eV/atom

Cell lengths 3.507, 4.752, 5.937 Å; angles 90.00, 90.00, 90.00 degrees
Element x y z (fractional)
1 In 0.000 0.000 0.000
2 Sb 0.500 0.000 0.500
3 Cl 0.000 0.500 0.500
4 Cl 0.500 0.500 0.000

=====

[5]
InSbCl2 | PBE-GGA | optimized geometry

Fermi-level density of states	3.0	states/eV per cell
DFT total energy	-2.954	eV per atom
magnetic moment	0.00	μB per atom
energy above the lowest structure with this stoichiometry	184	meV per atom
formation energy from raw total energies	-0.316	eV/atom

Cell lengths 3.589, 3.589, 8.525 Å; angles 90.00, 90.00, 90.00 degrees
Element x y z (fractional)
1 In 0.000 0.000 0.000
2 Sb 0.500 0.500 0.243
3 Cl 0.000 0.000 0.432
4 Cl 0.500 0.500 0.819

=====

[6]
InSb2Cl | PBE-GGA | optimized geometry

Fermi-level density of states	1.5	states/eV per cell
DFT total energy	-3.437	eV per atom
magnetic moment	0.00	μB per atom
formation energy from raw total energies	-0.230	eV/atom

Cell lengths 5.302, 4.570, 5.853 Å; angles 90.00, 116.73, 90.00 degrees
Element x y z (fractional)
1 In 0.000 0.000 0.000
2 Sb 0.184 0.500 0.367
3 Sb 0.816 0.500 0.633
4 Cl 0.500 0.000 0.000

=====

Please write out number 4 again, unchanged.
InSbCl2 | PBE-GGA | optimized geometry

Fermi-level density of states	1.6	states/eV per cell
DFT total energy	-2.995	eV per atom
magnetic moment	0.00	μB per atom
energy above the lowest structure with this stoichiometry	143	meV per atom
formation energy from raw total energies	-0.357	eV/atom

Cell lengths 3.507, 4.752, 5.937 Å; angles 90.00, 90.00, 90.00 degrees
Element x y z (fractional)
1 In 0.000 0.000 0.000
2 Sb 0.500 0.000 0.500
3 Cl 0.000 0.500 0.500
4 Cl 0.500 0.500 0.000

=====

Which of these has the lowest Fermi-level density of states? number 3

=====

Number 1 is which compound? InSb2Cl